Entry 1:
Computed, not measured: crystalline La2PmErIn2 at its relaxed geometry at the GGA-PBE level of DFT.

a = 5.2102 Å, b = 10.2811 Å, c = 6.9218 Å
α = 90.00°, β = 90.00°, γ = 90.00°
Atoms (fractional coordinates):
La1 0.0000 0.0578 0.0000
La2 0.0000 0.9422 0.5000
La3 0.5000 0.1787 0.2339
La4 0.5000 0.8213 0.7339
Pm1 0.5000 0.4578 0.8776
Pm2 0.5000 0.5422 0.3776
Er1 0.0000 0.3097 0.5972
Er2 0.0000 0.6903 0.0972
In1 0.0000 0.3827 0.1419
In2 0.0000 0.6173 0.6419
In3 0.5000 0.1493 0.7163
In4 0.5000 0.8507 0.2163

Values from the calculation:
Density of states at the Fermi level, states/eV per cell: 13.21
Space group: No. 26
Spin magnetization, μB per atom: 0.000
Energy, eV/cell: -53.56
Energy relative to the elements, eV per atom: -0.356

Entry 2:
Computed, not measured: crystalline La2Pr6Er3In at its relaxed geometry at the GGA-PBE level of DFT.

a = 6.2566 Å, b = 6.2566 Å, c = 12.0146 Å
α = 94.98°, β = 94.98°, γ = 120.06°
Atoms (fractional coordinates):
La1 0.1665 0.8335 0.0000
La2 0.8335 0.1665 0.0000
Pr1 0.0915 0.4161 0.7467
Pr2 0.2597 0.2597 0.2537
Pr3 0.4161 0.0915 0.7467
Pr4 0.5839 0.9085 0.2533
Pr5 0.7403 0.7403 0.7463
Pr6 0.9085 0.5839 0.2533
Er1 0.0000 0.0000 0.5000
Er2 0.3329 0.6671 0.5000
Er3 0.6671 0.3329 0.5000
In1 0.5000 0.5000 0.0000

Values from the calculation:
Density of states at the Fermi level, states/eV per cell: 14.03
Space group: No. 12
Spin magnetization, μB per atom: 0.000
Energy, eV/cell: -55.67
Energy relative to the elements, eV per atom: -0.059

Entry 3:
Computed, not measured: crystalline LaPr2ErIn4 at its relaxed geometry at the GGA-PBE level of DFT.

a = 9.5284 Å, b = 9.5284 Å, c = 9.5284 Å
α = 33.37°, β = 33.37°, γ = 33.37°
Atoms (fractional coordinates):
La1 0.0000 0.0000 0.0000
Pr1 0.2489 0.2489 0.2489
Pr2 0.7511 0.7511 0.7511
Er1 0.5000 0.5000 0.5000
In1 0.1270 0.1270 0.1270
In2 0.3773 0.3773 0.3773
In3 0.6227 0.6227 0.6227
In4 0.8730 0.8730 0.8730

Values from the calculation:
Density of states at the Fermi level, states/eV per cell: 4.12
Space group: No. 166
Spin magnetization, μB per atom: 0.000
Energy, eV/cell: -33.80
Energy relative to the elements, eV per atom: -0.474

Entry 4:
Computed, not measured: crystalline LaPrErIn at its relaxed geometry at the GGA-PBE level of DFT.

a = 5.6127 Å, b = 5.6127 Å, c = 5.6127 Å
α = 60.00°, β = 60.00°, γ = 60.00°
Atoms (fractional coordinates):
La1 0.0000 0.0000 0.0000
Pr1 0.5000 0.5000 0.5000
Er1 0.7500 0.7500 0.7500
In1 0.2500 0.2500 0.2500

Values from the calculation:
Excess energy over the best structure of this formula in the dataset, meV per atom: 0
Density of states at the Fermi level, states/eV per cell: 7.62
Space group: No. 216
Spin magnetization, μB per atom: 0.068
Energy, eV/cell: -17.68
Energy relative to the elements, eV per atom: -0.167

Entry 5:
Computed, not measured: crystalline LaPrEr2In4 at its relaxed geometry at the GGA-PBE level of DFT.

a = 9.4044 Å, b = 9.4044 Å, c = 9.4044 Å
α = 33.47°, β = 33.47°, γ = 33.47°
Atoms (fractional coordinates):
La1 0.0000 0.0000 0.0000
Pr1 0.5000 0.5000 0.5000
Er1 0.2500 0.2500 0.2500
Er2 0.7500 0.7500 0.7500
In1 0.1256 0.1256 0.1256
In2 0.3756 0.3756 0.3756
In3 0.6244 0.6244 0.6244
In4 0.8744 0.8744 0.8744

Values from the calculation:
Density of states at the Fermi level, states/eV per cell: 3.61
Space group: No. 166
Spin magnetization, μB per atom: 0.000
Energy, eV/cell: -33.55
Energy relative to the elements, eV per atom: -0.470

Entry 6:
Computed, not measured: crystalline LaPrErIn at its relaxed geometry at the GGA-PBE level of DFT.

a = 5.5571 Å, b = 5.5571 Å, c = 5.5571 Å
α = 60.00°, β = 60.00°, γ = 60.00°
Atoms (fractional coordinates):
La1 0.0000 0.0000 0.0000
Pr1 0.7500 0.7500 0.7500
Er1 0.2500 0.2500 0.2500
In1 0.5000 0.5000 0.5000

Values from the calculation:
Excess energy over the best structure of this formula in the dataset, meV per atom: 67
Density of states at the Fermi level, states/eV per cell: 7.35
Space group: No. 216
Spin magnetization, μB per atom: 0.001
Energy, eV/cell: -17.41
Energy relative to the elements, eV per atom: -0.099